DFT (meta-GGA SCAN) results for a PBEsol-optimized structure of KCuRe2.

Cell lengths 2.713, 3.733, 7.757 Å; angles 90.00, 90.00, 90.00 degrees
Fractional coordinates of all 4 atoms:
K 0.000 0.000 0.000
Cu 0.500 0.500 0.686
Re 0.000 0.000 0.507
Re 0.500 0.500 0.354

Calculated values
Total energy ... -40.69 eV per atom
N(E_F) ... 0.917 states/eV per atom
Density ... 10.042 Mg/m³
Calculated volume ... 78.6 Å³ per cell
ΔH_f (0 K) ... 739 meV per atom
M_tot ... 0.0 μB per formula unit